Computed, not measured: an optimized crystal structure of KMg2Tc at the PBE level of DFT.

Crystal system: tetragonal
Excess energy over the best structure of this formula in the dataset: 0 meV per atom
E_form: 44 kJ/mol of atoms

abc: 3.261 3.261 9.619
angles: 90.00 90.00 90.00
Fractional positions:
K (0.000, 0.000, 0.000)
Mg (0.500, 0.500, 0.333)
Mg (0.500, 0.500, 0.667)
Tc (0.000, 0.000, 0.500)